1.
Computed, not measured: NiAsBr2 after structural relaxation at the PBE level of DFT.

Cell: 3.2957 6.3296 8.7776 Å, 90.00 90.00 90.00°
Last column: nearest neighbours and their distance in Å.
Sites, in units of the cell vectors:
1 Ni 0.0000 0.0000 0.0000  4 Br 2.36
2 Ni 0.5000 0.5000 0.0000  4 Br 2.36
3 As 0.0000 0.0000 0.5000  4 Br 3.17, 2 As 3.30
4 As 0.5000 0.5000 0.5000  4 Br 3.17, 2 As 3.30
5 Br 0.0000 0.5000 0.1920  2 Ni 2.36
6 Br 0.0000 0.5000 0.8080  2 Ni 2.36
7 Br 0.5000 0.0000 0.1920  2 Ni 2.36
8 Br 0.5000 0.0000 0.8080  2 Ni 2.36

Output
- ΔE_f (raw): 1.34 eV per formula unit
- Offset from the most stable computed form: 620 meV per atom

2.
Computed, not measured: NiAsBr2 after structural relaxation at the PBE level of DFT.

Cell: 3.5437 6.7819 8.9159 Å, 90.00 90.00 90.00°
Last column: nearest neighbours and their distance in Å.
Sites, in units of the cell vectors:
1 Ni 0.0000 0.0000 0.0000  2 As 2.26, 2 Br 2.39
2 Ni 0.5000 0.5000 0.0000  2 As 2.26, 2 Br 2.39
3 As 0.0000 0.5000 0.8424  2 Ni 2.26
4 As 0.5000 0.0000 0.8424  2 Ni 2.26
5 Br 0.0000 0.0000 0.5955  2 As 2.83
6 Br 0.0000 0.5000 0.1798  2 Ni 2.39
7 Br 0.5000 0.0000 0.1798  2 Ni 2.39
8 Br 0.5000 0.5000 0.5955  2 As 2.83

Output
- ΔE_f (raw): 0.24 eV per formula unit
- Offset from the most stable computed form: 345 meV per atom

3.
Computed, not measured: NiAsBr2 after structural relaxation at the PBE level of DFT.

Cell: 6.8610 6.8610 6.8610 Å, 90.00 90.00 90.00°
Last column: nearest neighbours and their distance in Å.
Sites, in units of the cell vectors:
1 Ni 0.0000 0.0000 0.0000  4 Br 2.97, 4 As 2.97
2 Ni 0.0000 0.5000 0.5000  4 Br 2.97, 4 As 2.97
3 Ni 0.5000 0.0000 0.5000  4 Br 2.97, 4 As 2.97
4 Ni 0.5000 0.5000 0.0000  4 Br 2.97, 4 As 2.97
5 As 0.2500 0.2500 0.2500  4 Ni 2.97, 4 Br 2.97
6 As 0.2500 0.7500 0.7500  4 Ni 2.97, 4 Br 2.97
7 As 0.7500 0.2500 0.7500  4 Ni 2.97, 4 Br 2.97
8 As 0.7500 0.7500 0.2500  4 Ni 2.97, 4 Br 2.97
9 Br 0.0000 0.0000 0.5000  4 As 2.97, 4 Br 2.97
10 Br 0.0000 0.5000 0.0000  4 As 2.97, 4 Br 2.97
11 Br 0.2500 0.2500 0.7500  4 Br 2.97, 4 Ni 2.97
12 Br 0.2500 0.7500 0.2500  4 Br 2.97, 4 Ni 2.97
13 Br 0.5000 0.0000 0.0000  4 As 2.97, 4 Br 2.97
14 Br 0.5000 0.5000 0.5000  4 As 2.97, 4 Br 2.97
15 Br 0.7500 0.2500 0.2500  4 Br 2.97, 4 Ni 2.97
16 Br 0.7500 0.7500 0.7500  4 Br 2.97, 4 Ni 2.97

Output
- ΔE_f (raw): 3.09 eV per formula unit
- Offset from the most stable computed form: 1056 meV per atom

4.
Computed, not measured: NiAsBr2 after structural relaxation at the PBE level of DFT.

Cell: 3.5786 3.5786 25.0004 Å, 90.00 90.00 120.00°
Last column: nearest neighbours and their distance in Å.
Sites, in units of the cell vectors:
1 Ni 0.0000 0.0000 0.0000  6 Br 2.54
2 Ni 0.3333 0.6667 0.6667  6 Br 2.54
3 Ni 0.6667 0.3333 0.3333  6 Br 2.54
4 As 0.0000 0.0000 0.5000  2 Br 2.70
5 As 0.3333 0.6667 0.1667  2 Br 2.70
6 As 0.6667 0.3333 0.8333  2 Br 2.70
7 Br 0.0000 0.0000 0.3922  3 Ni 2.54, 1 As 2.70
8 Br 0.0000 0.0000 0.6078  3 Ni 2.54, 1 As 2.70
9 Br 0.3333 0.6667 0.0589  3 Ni 2.54, 1 As 2.70
10 Br 0.3333 0.6667 0.2745  3 Ni 2.54, 1 As 2.70
11 Br 0.6667 0.3333 0.7255  3 Ni 2.54, 1 As 2.70
12 Br 0.6667 0.3333 0.9411  3 Ni 2.54, 1 As 2.70

Output
- ΔE_f (raw): 0.68 eV per formula unit
- Offset from the most stable computed form: 453 meV per atom